First-principles (PBE) data for crystalline Zn5PtAu at its relaxed geometry, as listed in the Alexandria database.

## Properties
final energy = -2.28 eV per atom
spin magnetization = 0.0000 μB/atom
DFT formation energy = -0.041 eV per atom
space-group type = No. 15

```
data_Zn5PtAu
_chemical_formula_sum 'Zn10 Pt2 Au2'
_cell_length_a 6.677
_cell_length_b 6.677
_cell_length_c 8.434
_cell_angle_alpha 73.34
_cell_angle_beta 73.34
_cell_angle_gamma 74.76
_space_group_name_H-M_alt 'P 1'
_space_group_IT_number 1
_space_group_name_Hall 'P 1'
loop_
_atom_site_label
_atom_site_type_symbol
_atom_site_fract_x
_atom_site_fract_y
_atom_site_fract_z
Zn1 Zn 0.741 0.752 0.129
Zn2 Zn 0.321 0.672 0.477
Zn3 Zn 0.752 0.741 0.629
Zn4 Zn 0.830 0.170 0.250
Zn5 Zn 0.328 0.679 0.023
Zn6 Zn 0.672 0.321 0.977
Zn7 Zn 0.170 0.830 0.750
Zn8 Zn 0.248 0.259 0.371
Zn9 Zn 0.679 0.328 0.523
Zn10 Zn 0.259 0.248 0.871
Pt1 Pt 0.522 0.478 0.250
Pt2 Pt 0.478 0.522 0.750
Au1 Au 0.000 0.000 0.000
Au2 Au 0.000 0.000 0.500
```


First-principles (PBE) data for crystalline Zn6PtAu2 at its relaxed geometry, as listed in the Alexandria database.

## Properties
final energy = -2.48 eV per atom
spin magnetization = 0.0000 μB/atom
DFT formation energy = -0.227 eV per atom
offset from the most stable computed form = 11 kJ/mol of formula units
space-group type = No. 12

```
data_Zn6PtAu2
_chemical_formula_sum 'Zn6 Pt1 Au2'
_cell_length_a 4.245
_cell_length_b 6.485
_cell_length_c 7.320
_cell_angle_alpha 116.29
_cell_angle_beta 109.70
_cell_angle_gamma 90.00
_space_group_name_H-M_alt 'P 1'
_space_group_IT_number 1
_space_group_name_Hall 'P 1'
loop_
_atom_site_label
_atom_site_type_symbol
_atom_site_fract_x
_atom_site_fract_y
_atom_site_fract_z
Zn1 Zn 0.167 0.415 0.324
Zn2 Zn 0.833 0.091 0.676
Zn3 Zn 0.833 0.585 0.676
Zn4 Zn 0.500 0.226 0.000
Zn5 Zn 0.167 0.909 0.324
Zn6 Zn 0.500 0.774 0.000
Pt1 Pt 0.000 0.000 0.000
Au1 Au 0.671 0.665 0.331
Au2 Au 0.329 0.335 0.669
```